Record 1
Here is a relaxed structure of MgZr2Os from the Alexandria database. Energies are from GGA-PBE.

abc: 3.3162 3.3334 7.1257
angles: 90.00 90.00 90.00
Element x y z (fractional)
1 Mg 0.0000 0.0000 0.0000
2 Zr 0.5000 0.5000 0.2736
3 Zr 0.5000 0.5000 0.7264
4 Os 0.0000 0.0000 0.5000

Summary:
Final energy in eV/atom: -7.685
V in Å³/cell: 78.77
Energy of formation from the pure elements in eV per atom: -0.2046


Record 2
Here is a relaxed structure of MgZrOs2 from the Alexandria database. Energies are from GGA-PBE.

abc: 3.2883 4.2710 4.7420
angles: 90.00 90.00 90.00
Element x y z (fractional)
1 Mg 0.0000 0.0000 0.0000
2 Zr 0.5000 0.0000 0.5000
3 Os 0.0000 0.5000 0.5000
4 Os 0.5000 0.5000 0.0000

Summary:
Final energy in eV/atom: -7.973
V in Å³/cell: 66.60
Energy of formation from the pure elements in eV per atom: 0.1780


Record 3
Here is a relaxed structure of MgZrOs2 from the Alexandria database. Energies are from GGA-PBE.

abc: 2.8709 2.8709 8.5176
angles: 90.00 90.00 90.00
Element x y z (fractional)
1 Mg 0.0000 0.0000 0.0000
2 Zr 0.5000 0.5000 0.6848
3 Os 0.0000 0.0000 0.4280
4 Os 0.5000 0.5000 0.2359

Summary:
Final energy in eV/atom: -8.145
V in Å³/cell: 70.20
Energy of formation from the pure elements in eV per atom: 0.0055


Look up the V of the first one. 78.77 Å³/cell


Repeat the first record exactly.
Here is a relaxed structure of MgZr2Os from the Alexandria database. Energies are from GGA-PBE.

abc: 3.3162 3.3334 7.1257
angles: 90.00 90.00 90.00
Element x y z (fractional)
1 Mg 0.0000 0.0000 0.0000
2 Zr 0.5000 0.5000 0.2736
3 Zr 0.5000 0.5000 0.7264
4 Os 0.0000 0.0000 0.5000

Summary:
Final energy in eV/atom: -7.685
V in Å³/cell: 78.77
Energy of formation from the pure elements in eV per atom: -0.2046